Entry a
Below is crystalline CsMoI2O at its relaxed geometry, with properties calculated at the PBE+U level.

POSCAR file:
```
CsMoI2O
1.0
7.014 0.000 0.000
0.000 7.014 0.000
0.000 0.000 4.385
Cs Mo I O
1 1 2 1
direct
0.000 0.000 0.000 Cs
0.500 0.500 0.500 Mo
0.000 0.500 0.000 I
0.500 0.000 0.000 I
0.000 0.000 0.500 O
```

Mass density, Mg/m³: 3.84
Magnetic moment, μB per atom: 0.8359

Entry b
Below is crystalline CsMoI2O at its relaxed geometry, with properties calculated at the PBE+U level.

POSCAR file:
```
CsMoI2O
1.0
6.324 0.000 0.000
0.000 6.324 0.000
0.000 0.000 4.015
Cs Mo I O
1 1 2 1
direct
0.000 0.000 0.000 Cs
0.500 0.500 0.500 Mo
0.000 0.500 0.500 I
0.500 0.000 0.500 I
0.500 0.500 0.000 O
```

Mass density, Mg/m³: 5.16
Magnetic moment, μB per atom: 0.6000

Most stable structure - entry b; separation to the second - 1.475 eV/atom.

Entry a
Below is crystalline CsMoIO2 at its relaxed geometry, with properties calculated at the PBE+U level.

POSCAR file:
```
CsMoIO2
1.0
4.443 0.000 0.000
0.000 4.443 0.000
0.000 0.000 5.738
Cs Mo I O
1 1 1 2
direct
0.000 0.000 0.000 Cs
0.500 0.500 0.500 Mo
0.500 0.500 0.000 I
0.000 0.500 0.500 O
0.500 0.000 0.500 O
```

Mass density, Mg/m³: 5.68
Magnetic moment, μB per atom: 0.3999

Entry b
Below is crystalline CsMoIO2 at its relaxed geometry, with properties calculated at the PBE+U level.

POSCAR file:
```
CsMoIO2
1.0
4.421 0.000 0.000
0.000 4.421 0.000
0.000 0.000 7.483
Cs Mo I O
1 1 1 2
direct
0.000 0.000 0.000 Cs
0.500 0.500 0.500 Mo
0.000 0.000 0.500 I
0.000 0.500 0.000 O
0.500 0.000 0.000 O
```

Mass density, Mg/m³: 4.40
Magnetic moment, μB per atom: 0.9441

Most stable structure - entry a; separation to the second - 1.252 eV/atom.